1.
{"formula": "K2CaFe", "functional": "PBE", "state": "optimized geometry", "magnetic_moment_mub_per_cell": 2.70, "formation_enthalpy_0k_mev_per_atom": 579, "e_tot_ev_per_cell": -10.3, "vol_a3_per_atom": 41.31, "crystal_system": "tetragonal", "spacegroup": "P4mm", "relative_energy_ev_per_atom": 0.000, "lattice_angstrom": [[-3.229, 1.944, 0.525], [-2.013, -3.091, -0.935], [-0.153, -3.213, 10.948]], "species": ["K", "K", "Fe", "Ca"], "frac_coords": [[0.000, 0.000, 0.925], [0.500, 0.500, 0.279], [0.500, 0.500, 0.715], [0.000, 0.000, 0.581]]}

2.
{"formula": "Ta2Si4O", "functional": "PBE", "state": "optimized geometry", "magnetic_moment_mub_per_cell": 0.00, "formation_energy_uncorrected_ev_per_atom": -0.1193, "e_tot_ev_per_cell": -51.2, "vol_a3_per_atom": 14.92, "crystal_system": "tetragonal", "spacegroup": "I4/mmm", "lattice_angstrom": [[3.657, 0.000, 0.000], [0.000, 3.657, 0.000], [1.829, 1.829, 7.808]], "species": ["Si", "Si", "Ta", "Si", "Ta", "Si", "O"], "frac_coords": [[0.500, 0.000, 0.000], [0.199, 0.199, 0.603], [0.371, 0.371, 0.258], [0.801, 0.801, 0.397], [0.629, 0.629, 0.742], [0.000, 0.500, 0.000], [0.000, 0.000, 0.000]]}

3.
{"formula": "CsAlSi2Te8", "functional": "PBE", "state": "optimized geometry", "magnetic_moment_mub_per_cell": 0.00, "formation_energy_uncorrected_ev_per_atom": -0.1192, "e_tot_ev_per_cell": -42.0, "vol_a3_per_atom": 39.45, "crystal_system": "trigonal", "spacegroup": "R-3", "lattice_angstrom": [[6.331, 0.000, 0.000], [3.165, 5.483, 0.000], [3.165, 1.828, 13.638]], "species": ["Si", "Te", "Te", "Si", "Cs", "Te", "Te", "Te", "Te", "Te", "Te", "Al"], "frac_coords": [[0.262, 0.262, 0.214], [0.669, 0.292, 0.144], [0.104, 0.331, 0.856], [0.738, 0.738, 0.786], [0.500, 0.500, 0.500], [0.708, 0.104, 0.856], [0.292, 0.896, 0.144], [0.331, 0.708, 0.856], [0.896, 0.669, 0.144], [0.203, 0.203, 0.391], [0.797, 0.797, 0.609], [0.000, 0.000, 0.000]]}